Entry 1:
## LiOs (PBE-GGA)

Data for crystalline LiOs at its relaxed geometry.

Output
Calculated volume (Å³ per cell): 48.8
Energy relative to the elements (kJ/mol of formula units): 58.9

Cell and atoms, written as CIF:
```
data_LiOs
_cell_length_a 4.6372
_cell_length_b 4.6372
_cell_length_c 4.6372
_cell_angle_alpha 142.25
_cell_angle_beta 125.70
_cell_angle_gamma 68.03
_symmetry_space_group_name_H-M 'P 1'
_symmetry_Int_Tables_number 1
loop_
_symmetry_equiv_pos_as_xyz
'x,y,z'
loop_
_atom_site_label
_atom_site_type_symbol
_atom_site_fract_x
_atom_site_fract_y
_atom_site_fract_z
Li1 Li 0.6031 0.8531 0.2500
Li2 Li 0.3969 0.1469 0.7500
Os1 Os 0.1359 0.3859 0.2500
Os2 Os 0.8641 0.6141 0.7500
```

=====

Entry 2:
## Li3Os (PBE-GGA)

Data for crystalline Li3Os at its relaxed geometry.

Output
Calculated volume (Å³ per cell): 54.9
Energy above the most stable polymorph in this dataset (eV/f.u.): 2.03
Energy relative to the elements (kJ/mol of formula units): 238.5

Cell and atoms, written as CIF:
```
data_Li3Os
_cell_length_a 4.2654
_cell_length_b 4.2654
_cell_length_c 4.2654
_cell_angle_alpha 60.00
_cell_angle_beta 60.00
_cell_angle_gamma 60.00
_symmetry_space_group_name_H-M 'P 1'
_symmetry_Int_Tables_number 1
loop_
_symmetry_equiv_pos_as_xyz
'x,y,z'
loop_
_atom_site_label
_atom_site_type_symbol
_atom_site_fract_x
_atom_site_fract_y
_atom_site_fract_z
Li1 Li 0.0000 0.0000 0.0000
Li2 Li 0.2500 0.2500 0.2500
Li3 Li 0.5000 0.5000 0.5000
Os1 Os 0.7500 0.7500 0.7500
```

=====

Entry 3:
## LiOs2 (PBE-GGA)

Data for crystalline LiOs2 at its relaxed geometry.

Output
Calculated volume (Å³ per cell): 78.1
Energy above the most stable polymorph in this dataset (eV/f.u.): 1.05
Energy relative to the elements (kJ/mol of formula units): 161.7

Cell and atoms, written as CIF:
```
data_LiOs2
_cell_length_a 4.2372
_cell_length_b 4.2372
_cell_length_c 5.0222
_cell_angle_alpha 90.00
_cell_angle_beta 90.00
_cell_angle_gamma 120.00
_symmetry_space_group_name_H-M 'P 1'
_symmetry_Int_Tables_number 1
loop_
_symmetry_equiv_pos_as_xyz
'x,y,z'
loop_
_atom_site_label
_atom_site_type_symbol
_atom_site_fract_x
_atom_site_fract_y
_atom_site_fract_z
Li1 Li 0.6667 0.3333 0.2500
Li2 Li 0.3333 0.6667 0.7500
Os1 Os 0.0000 0.0000 0.0000
Os2 Os 0.0000 0.0000 0.5000
Os3 Os 0.3333 0.6667 0.2500
Os4 Os 0.6667 0.3333 0.7500
```

=====

Entry 4:
## LiOs3 (PBE-GGA)

Data for crystalline LiOs3 at its relaxed geometry.

Output
Calculated volume (Å³ per cell): 55.6
Energy relative to the elements (kJ/mol of formula units): 152.2

Cell and atoms, written as CIF:
```
data_LiOs3
_cell_length_a 4.7277
_cell_length_b 4.7277
_cell_length_c 2.6981
_cell_angle_alpha 90.00
_cell_angle_beta 90.00
_cell_angle_gamma 112.87
_symmetry_space_group_name_H-M 'P 1'
_symmetry_Int_Tables_number 1
loop_
_symmetry_equiv_pos_as_xyz
'x,y,z'
loop_
_atom_site_label
_atom_site_type_symbol
_atom_site_fract_x
_atom_site_fract_y
_atom_site_fract_z
Li1 Li 0.0000 0.0000 0.0000
Os1 Os 0.0000 0.5000 0.5000
Os2 Os 0.5000 0.0000 0.5000
Os3 Os 0.5000 0.5000 0.0000
```

=====

Q: Among the records above, which one has the lowest energy relative to the elements?
A: LiOs